VASP calculation (meta-GGA SCAN) on a crystal of Co21B6Sb2 relaxed with PBEsol.

As for the uncorrected formation energy: -0.09 eV/atom. As for the size of the total moment: 21.9 μB/f.u.

The space group is Fm-3m (No. 225) and the conventional cell measures 10.403, 10.403 and 10.403 Å, with angles of 90.00, 90.00 and 90.00 degrees. The distinct sites, in fractional coordinates, are Co at (0.000, 0.000, 0.000), Co at (0.000, 0.167, 0.167), Co at (0.116, 0.116, 0.384), B at (0.000, 0.000, 0.276) and Sb at (0.250, 0.250, 0.250).

VASP calculation (meta-GGA SCAN) on a crystal of TlCo2BSb relaxed with PBEsol.

As for the uncorrected formation energy: 1.60 eV/atom. As for the size of the total moment: 3.6 μB/f.u.

The space group is P4/mmm (No. 123) and the conventional cell measures 4.822, 4.822 and 4.028 Å, with angles of 90.00, 90.00 and 90.00 degrees. The distinct sites, in fractional coordinates, are Tl at (0.000, 0.000, 0.000), Co at (0.000, 0.500, 0.000), B at (0.000, 0.000, 0.500) and Sb at (0.500, 0.500, 0.500).

VASP calculation (meta-GGA SCAN) on a crystal of Sc3CoB relaxed with PBEsol.

The energy of formation from the pure elements is 594 meV/atom. As for the size of the total moment: 0.0 μB/f.u.

The space group is Pm-3m (No. 221) and the conventional cell measures 4.597, 4.597 and 4.597 Å, with angles of 90.00, 90.00 and 90.00 degrees. The distinct sites, in fractional coordinates, are Sc at (0.000, 0.000, 0.500), Co at (0.000, 0.000, 0.000) and B at (0.500, 0.500, 0.500).